Entry from Alexandria via LeMat-Bulk: crystalline SrAl3As at its relaxed geometry (GGA-PBEsol).

Values from the calculation:
energy of formation: 8.0 eV/f.u.

Cell lengths 5.6123, 5.6123, 5.6123 Å; angles 90.00, 90.00, 90.00 degrees
With the nearest neighbours (Å) after each atom.
Space group Pm-3m (No. 221)
One atom of each set of equivalent atoms:
Sr  0.0000  0.0000  0.0000 x1  6 Al 2.81
Al  0.0000  0.0000  0.5000 x3  2 Sr 2.81
As  0.5000  0.5000  0.5000 x1  12 Al 3.97